1.
Hf6BTe2 PBE optimized geometry; space-group type = P-62m; E = -8.48 eV per atom; size of the total moment = 0.0 μB/f.u.
1.0
-5.170 -5.068 -1.936
4.137 -1.034 6.162
-2.508 1.800 1.986
Hf B Te
6 1 2
Direct
0.604 0.000 0.000
0.229 0.000 0.500
0.396 0.396 0.000
0.000 0.229 0.500
0.771 0.771 0.500
0.000 0.604 0.000
0.000 0.000 0.000
0.667 0.333 0.500
0.333 0.667 0.500

2.
HfThB4 PBE optimized geometry; space-group type = P6/mmm; E = -8.08 eV per atom; size of the total moment = 0.0 μB/f.u.
1.0
3.220 0.000 0.000
-1.610 2.789 0.000
0.000 0.000 7.760
B Th Hf
4 1 1
Direct
0.333 0.667 0.280
0.667 0.333 0.280
0.333 0.667 0.720
0.667 0.333 0.720
0.000 0.000 0.000
0.000 0.000 0.500

3.
HfThB PBE optimized geometry; space-group type = F-43m; E = -7.88 eV per atom; size of the total moment = 0.0 μB/f.u.
1.0
0.000 3.132 3.132
3.132 0.000 3.132
3.132 3.132 0.000
B Hf Th
1 1 1
Direct
0.000 0.000 0.000
0.250 0.250 0.250
0.750 0.750 0.750

4.
HfTlB2 PBE optimized geometry; space-group type = F-43m; E = -4.75 eV per atom; size of the total moment = 0.0 μB/f.u.
1.0
0.000 3.187 3.187
3.187 0.000 3.187
3.187 3.187 0.000
Hf Tl B
1 1 2
Direct
0.500 0.500 0.500
0.750 0.750 0.750
0.000 0.000 0.000
0.250 0.250 0.250

5.
HfTlB PBE optimized geometry; space-group type = F-43m; E = -5.72 eV per atom; size of the total moment = 0.0 μB/f.u.
1.0
1.746 -3.541 -1.456
-1.925 -3.695 0.595
-1.737 -2.017 -3.259
Hf B Tl
1 1 1
Direct
0.250 0.250 0.250
0.000 0.000 0.000
0.750 0.750 0.750

6.
Hf2TlB2 PBE optimized geometry; space-group type = Cmmm; E = -7.64 eV per atom; size of the total moment = 0.0 μB/f.u.
1.0
-2.984 4.418 -5.214
1.931 -2.009 6.917
2.956 1.556 -0.374
Tl Hf B
1 2 2
Direct
0.000 0.000 0.000
0.344 0.656 0.500
0.656 0.344 0.500
0.225 0.775 0.000
0.775 0.225 0.000

7.
HfTlB4 PBE optimized geometry; space-group type = Immm; E = -6.39 eV per atom; size of the total moment = 0.0 μB/f.u.
1.0
-1.568 2.653 4.021
1.568 -2.653 4.021
1.568 2.653 -4.021
B Hf Tl
4 1 1
Direct
0.589 0.258 0.331
0.411 0.742 0.669
0.927 0.258 0.669
0.073 0.742 0.331
0.000 0.000 0.000
0.500 0.500 0.000

8.
HfTlB4 PBE optimized geometry; space-group type = P6/mmm; E = -6.65 eV per atom; size of the total moment = 0.0 μB/f.u.
1.0
-1.724 -1.491 -2.182
1.561 -1.661 2.182
-6.868 0.356 5.184
B Hf Tl
4 1 1
Direct
0.667 0.333 0.305
0.667 0.333 0.695
0.333 0.667 0.305
0.333 0.667 0.695
0.000 0.000 0.500
0.000 0.000 0.000

9.
HfZrTlB PBE optimized geometry; space-group type = P-6m2; E = -7.27 eV per atom; size of the total moment = 0.0 μB/f.u.
1.0
-1.619 -2.183 -2.121
2.755 -1.055 1.784
-9.121 -4.394 11.486
Hf B Zr Tl
2 2 2 2
Direct
0.333 0.667 0.165
0.333 0.667 0.835
0.000 0.000 0.753
0.000 0.000 0.247
0.667 0.333 0.332
0.667 0.333 0.668
0.333 0.667 0.500
0.667 0.333 0.000

10.
HfZr3Tl2B2 PBE optimized geometry; space-group type = P3m1; E = -7.10 eV per atom; size of the total moment = 0.0 μB/f.u.
1.0
-0.250 -2.909 1.850
3.100 1.410 -0.593
-1.311 8.297 12.869
Zr B Hf Tl
3 2 1 2
Direct
0.000 0.000 0.415
0.333 0.667 0.917
0.333 0.667 0.584
0.667 0.333 0.002
0.667 0.333 0.500
0.000 0.000 0.083
0.333 0.667 0.249
0.000 0.000 0.750

11.
HfZrTlB PBE optimized geometry; space-group type = P-3m1; E = -7.27 eV per atom; size of the total moment = 0.0 μB/f.u.
1.0
3.447 0.000 0.000
-1.724 2.985 0.000
0.000 0.000 15.312
Zr Hf Tl B
2 2 2 2
Direct
0.667 0.333 0.585
0.333 0.667 0.415
0.333 0.667 0.082
0.667 0.333 0.918
0.667 0.333 0.248
0.333 0.667 0.752
0.000 0.000 0.500
0.000 0.000 0.000

12.
Hf3ZrTl2B2 PBE optimized geometry; space-group type = P3m1; E = -7.44 eV per atom; size of the total moment = 0.0 μB/f.u.
1.0
3.438 0.000 0.000
-1.719 2.978 0.000
0.000 0.000 15.255
Hf B Zr Tl
3 2 1 2
Direct
0.667 0.333 0.417
0.000 0.000 0.582
0.667 0.333 0.084
0.333 0.667 0.002
0.333 0.667 0.499
0.000 0.000 0.916
0.000 0.000 0.251
0.667 0.333 0.748

13.
YHfB PBE optimized geometry; space-group type = F-43m; E = -7.59 eV per atom; size of the total moment = 0.0 μB/f.u.
1.0
0.916 0.269 4.226
-3.121 -0.634 2.938
0.020 -3.577 2.445
Hf B Y
1 1 1
Direct
0.250 0.250 0.250
0.000 0.000 0.000
0.750 0.750 0.750

14.
HfZnB PBE optimized geometry; space-group type = F-43m; E = -5.29 eV per atom; size of the total moment = 0.0 μB/f.u.
1.0
0.000 2.928 2.928
2.928 0.000 2.928
2.928 2.928 0.000
Zn Hf B
1 1 1
Direct
0.750 0.750 0.750
0.000 0.000 0.000
0.250 0.250 0.250

15.
HfZnB4 PBE optimized geometry; space-group type = Immm; E = -6.62 eV per atom; size of the total moment = 0.0 μB/f.u.
1.0
-1.556 2.572 3.654
1.556 -2.572 3.654
1.556 2.572 -3.654
B Zn Hf
4 1 1
Direct
0.413 0.739 0.674
0.065 0.739 0.326
0.935 0.261 0.674
0.587 0.261 0.326
0.500 0.500 0.000
0.000 0.000 0.000

16.
HfZnB4 PBE optimized geometry; space-group type = P6/mmm; E = -6.58 eV per atom; size of the total moment = 0.0 μB/f.u.
1.0
3.104 0.000 0.000
-1.552 2.688 0.000
0.000 0.000 6.994
B Hf Zn
4 1 1
Direct
0.667 0.333 0.252
0.333 0.667 0.748
0.333 0.667 0.252
0.667 0.333 0.748
0.000 0.000 0.500
0.000 0.000 0.000

17.
HfZn2B PBE optimized geometry; space-group type = F-43m; E = -4.41 eV per atom; size of the total moment = 0.0 μB/f.u.
1.0
0.000 3.048 3.048
3.048 0.000 3.048
3.048 3.048 0.000
Zn B Hf
2 1 1
Direct
0.000 0.000 0.000
0.750 0.750 0.750
0.500 0.500 0.500
0.250 0.250 0.250

18.
Hf2ZnB PBE optimized geometry; space-group type = F-43m; E = -6.03 eV per atom; size of the total moment = 0.0 μB/f.u.
1.0
1.654 -4.208 -0.242
1.267 -2.155 3.775
-2.443 -3.485 1.546
Zn B Hf
1 1 2
Direct
0.250 0.250 0.250
0.500 0.500 0.500
0.000 0.000 0.000
0.750 0.750 0.750

19.
Hf2ZnB PBE optimized geometry; space-group type = P6_3/mmc; E = -7.22 eV per atom; size of the total moment = 0.0 μB/f.u.
1.0
3.372 0.000 0.000
-1.686 2.920 0.000
0.000 0.000 14.242
Zn B Hf
2 2 4
Direct
0.667 0.333 0.250
0.333 0.667 0.750
0.000 0.000 0.500
0.000 0.000 0.000
0.667 0.333 0.592
0.333 0.667 0.408
0.333 0.667 0.092
0.667 0.333 0.908

20.
HfZr2B2 PBE optimized geometry; space-group type = I4/mmm; E = -8.24 eV per atom; size of the total moment = 0.0 μB/f.u.
1.0
-1.946 -3.850 4.186
-5.696 -1.404 1.311
3.898 0.652 -4.529
Zr B Hf
2 2 1
Direct
0.250 0.750 0.500
0.750 0.250 0.500
0.422 0.422 0.000
0.578 0.578 0.000
0.000 0.000 0.000